AcLaCe2Bi4 | Alexandria | PBE-GGA | relaxed; crystal system = monoclinic; space-group type = P2/m; formation energy = -0.904 eV/atom
1.0
8.142 0.000 0.000
0.000 4.699 0.000
-2.712 0.000 7.680
Ac La Ce Bi
1 1 2 4
Direct
0.000 0.000 0.000
0.500 0.500 0.000
0.000 0.500 0.500
0.500 0.000 0.500
0.252 0.000 0.740
0.260 0.500 0.264
0.740 0.500 0.736
0.748 0.000 0.260

---

AcCeMgBi | Alexandria | PBE-GGA | relaxed; crystal system = cubic; space-group type = F-43m; formation energy = -0.263 eV/atom
1.0
8.067 0.000 0.000
0.000 8.067 0.000
0.000 0.000 8.067
Ac Ce Mg Bi
4 4 4 4
Direct
0.000 0.000 0.000
0.000 0.500 0.500
0.500 0.000 0.500
0.500 0.500 0.000
0.000 0.000 0.500
0.000 0.500 0.000
0.500 0.000 0.000
0.500 0.500 0.500
0.250 0.250 0.750
0.250 0.750 0.250
0.750 0.250 0.250
0.750 0.750 0.750
0.250 0.250 0.250
0.250 0.750 0.750
0.750 0.250 0.750
0.750 0.750 0.250

---

Ac2CeBi2N2 | Alexandria | PBE-GGA | relaxed; crystal system = tetragonal; space-group type = I4/mmm; ΔE_f (raw) = -0.9403 eV per atom
1.0
4.624 0.000 0.000
0.000 4.624 0.000
0.000 0.000 17.185
Ac Ce Bi N
4 2 4 4
Direct
0.000 0.000 0.103
0.000 0.000 0.897
0.500 0.500 0.397
0.500 0.500 0.603
0.000 0.000 0.500
0.500 0.500 0.000
0.000 0.000 0.298
0.000 0.000 0.702
0.500 0.500 0.202
0.500 0.500 0.798
0.000 0.500 0.000
0.000 0.500 0.500
0.500 0.000 0.000
0.500 0.000 0.500

---

Ac2Ce4Bi3N2 | Alexandria | PBE-GGA | relaxed; crystal system = tetragonal; space-group type = I4/mmm; ΔE_f (raw) = -0.9798 eV per atom
1.0
-2.413 2.413 13.777
2.413 -2.413 13.777
2.413 2.413 -13.777
Ac Ce Bi N
2 4 3 2
Direct
0.194 0.194 0.000
0.806 0.806 0.000
0.083 0.583 0.500
0.417 0.917 0.500
0.583 0.083 0.500
0.917 0.417 0.500
0.326 0.326 0.000
0.500 0.500 0.000
0.674 0.674 0.000
0.099 0.099 0.000
0.901 0.901 0.000

---

AcCeNdBi | Alexandria | PBE-GGA | relaxed; crystal system = cubic; space-group type = F-43m; formation energy = -0.156 eV/atom
1.0
8.079 0.000 0.000
0.000 8.079 0.000
0.000 0.000 8.079
Ac Ce Nd Bi
4 4 4 4
Direct
0.000 0.000 0.000
0.000 0.500 0.500
0.500 0.000 0.500
0.500 0.500 0.000
0.250 0.250 0.250
0.250 0.750 0.750
0.750 0.250 0.750
0.750 0.750 0.250
0.250 0.250 0.750
0.250 0.750 0.250
0.750 0.250 0.250
0.750 0.750 0.750
0.000 0.000 0.500
0.000 0.500 0.000
0.500 0.000 0.000
0.500 0.500 0.500

---

Ac2CeNdBi5 | Alexandria | PBE-GGA | relaxed; crystal system = tetragonal; space-group type = P4/mmm; formation energy = -0.241 eV/atom
1.0
5.613 0.000 0.000
0.000 5.613 0.000
0.000 0.000 12.290
Ac Ce Nd Bi
2 1 1 5
Direct
0.000 0.000 0.219
0.000 0.000 0.781
0.500 0.500 0.500
0.500 0.500 0.000
0.000 0.000 0.500
0.000 0.500 0.000
0.500 0.000 0.000
0.500 0.500 0.255
0.500 0.500 0.745

---

AcCeBi2O8 | Alexandria | PBE-GGA | relaxed; crystal system = tetragonal; space-group type = I-4m2; ΔE_f (raw) = -1.8971 eV per atom
1.0
-3.844 3.844 3.659
3.844 -3.844 3.659
3.844 3.844 -3.659
Ac Ce Bi O
1 1 2 8
Direct
0.000 0.000 0.000
0.250 0.750 0.500
0.500 0.500 0.000
0.750 0.250 0.500
0.301 0.099 0.797
0.301 0.504 0.203
0.364 0.044 0.320
0.496 0.699 0.797
0.724 0.044 0.680
0.901 0.699 0.203
0.956 0.276 0.320
0.956 0.636 0.680

---

AcCe2BiO8 | Alexandria | PBE-GGA | relaxed; crystal system = monoclinic; space-group type = P2/m; ΔE_f (raw) = -2.6027 eV per atom
1.0
3.982 0.000 0.000
0.000 7.748 0.000
-0.020 0.000 5.596
Ac Ce Bi O
1 2 1 8
Direct
0.000 0.000 0.000
0.500 0.251 0.500
0.500 0.749 0.500
0.000 0.500 0.000
0.002 0.274 0.744
0.002 0.726 0.744
0.497 0.500 0.233
0.500 0.000 0.273
0.500 0.000 0.727
0.503 0.500 0.767
0.998 0.274 0.256
0.998 0.726 0.256

---

Ac2CeBi2O2 | Alexandria | PBE-GGA | relaxed; crystal system = tetragonal; space-group type = I4/mmm; ΔE_f (raw) = -1.8647 eV per atom
1.0
4.625 0.000 0.000
0.000 4.625 0.000
0.000 0.000 17.582
Ac Ce Bi O
4 2 4 4
Direct
0.000 0.000 0.118
0.000 0.000 0.882
0.500 0.500 0.382
0.500 0.500 0.618
0.000 0.000 0.500
0.500 0.500 0.000
0.000 0.000 0.315
0.000 0.000 0.685
0.500 0.500 0.185
0.500 0.500 0.815
0.000 0.500 0.000
0.000 0.500 0.500
0.500 0.000 0.000
0.500 0.000 0.500

---

AcCe2BiO4 | Alexandria | PBE-GGA | relaxed; crystal system = tetragonal; space-group type = P4/mmm; ΔE_f (raw) = -2.9387 eV per atom
1.0
4.048 0.000 0.000
0.000 4.048 0.000
0.000 0.000 9.752
Ac Ce Bi O
1 2 1 4
Direct
0.000 0.000 0.000
0.500 0.500 0.271
0.500 0.500 0.729
0.000 0.000 0.500
0.000 0.500 0.164
0.000 0.500 0.836
0.500 0.000 0.164
0.500 0.000 0.836

---

AcCeBiPd | Alexandria | PBE-GGA | relaxed; crystal system = cubic; space-group type = F-43m; formation energy = -0.551 eV/atom
1.0
7.828 0.000 0.000
0.000 7.828 0.000
0.000 0.000 7.828
Ac Ce Bi Pd
4 4 4 4
Direct
0.000 0.000 0.000
0.000 0.500 0.500
0.500 0.000 0.500
0.500 0.500 0.000
0.000 0.000 0.500
0.000 0.500 0.000
0.500 0.000 0.000
0.500 0.500 0.500
0.250 0.250 0.250
0.250 0.750 0.750
0.750 0.250 0.750
0.750 0.750 0.250
0.250 0.250 0.750
0.250 0.750 0.250
0.750 0.250 0.250
0.750 0.750 0.750

---

Ac2CePmBi4 | Alexandria | PBE-GGA | relaxed; crystal system = monoclinic; space-group type = P2/m; formation energy = -0.927 eV/atom
1.0
8.198 0.000 0.000
0.000 4.738 0.000
-2.733 0.000 7.740
Ac Ce Pm Bi
2 1 1 4
Direct
0.000 0.000 0.000
0.500 0.500 0.000
0.000 0.500 0.500
0.500 0.000 0.500
0.244 0.000 0.733
0.255 0.500 0.267
0.745 0.500 0.733
0.756 0.000 0.267

---

| no. | calculated total energy (eV for the cell shown) |
| --- | --- |
| 1 | -43.66 |
| 2 | -66.28 |
| 3 | -90.29 |
| 4 | -71.02 |
| 5 | -77.26 |
| 6 | -40.50 |
| 7 | -80.23 |
| 8 | -90.76 |
| 9 | -89.76 |
| 10 | -63.20 |
| 11 | -85.29 |
| 12 | -41.84 |